DFT (PBE) results for a geometry-optimized AuCBr2 structure.

Unit cell a=4.8336 b=4.8336 c=4.8336 alpha=60.00 beta=60.00 gamma=60.00
Last column: nearest neighbours and their distance in Å.
Element x y z (fractional)
Au: 0.0000 0.0000 0.0000  8 Br 2.96
C: 0.5000 0.5000 0.5000  8 Br 2.96
Br: 0.2500 0.2500 0.2500  4 C 2.96, 4 Au 2.96
Br: 0.7500 0.7500 0.7500  4 C 2.96, 4 Au 2.96

Output
Its excess energy over the best structure of this formula in the dataset is 0.4255 eV per atom. For the uncorrected formation energy, the calculation gives 1.85 eV/atom. As for the space group: No. 225.


DFT (PBE) results for a geometry-optimized AuCBr2 structure.

Unit cell a=7.5208 b=7.5208 c=7.5208 alpha=136.62 beta=136.62 gamma=63.03
Last column: nearest neighbours and their distance in Å.
Element x y z (fractional)
Au: 0.0000 0.0000 0.0000  4 Br 2.76
Au: 0.7500 0.2500 0.5000  4 Br 2.76
C: 0.2500 0.7500 0.5000  4 Br 2.35
C: 0.5000 0.5000 0.0000  4 Br 2.35
Br: 0.1936 0.6250 0.0686  2 C 2.35
Br: 0.3750 0.4436 0.5686  2 C 2.35
Br: 0.5564 0.1250 0.9314  2 C 2.35
Br: 0.8750 0.8064 0.4314  2 C 2.35

Output
Its excess energy over the best structure of this formula in the dataset is 0.0315 eV per atom. For the uncorrected formation energy, the calculation gives 1.46 eV/atom. As for the space group: No. 122.


DFT (PBE) results for a geometry-optimized AuC3Br structure.

Unit cell a=4.0633 b=4.0633 c=4.0633 alpha=90.00 beta=90.00 gamma=90.00
Last column: nearest neighbours and their distance in Å.
Element x y z (fractional)
Au: 0.0000 0.0000 0.0000  12 C 2.87
C: 0.0000 0.5000 0.5000  2 Br 2.03
C: 0.5000 0.0000 0.5000  2 Br 2.03
C: 0.5000 0.5000 0.0000  2 Br 2.03
Br: 0.5000 0.5000 0.5000  6 C 2.03

Output
Its excess energy over the best structure of this formula in the dataset is 0.4729 eV per atom. For the uncorrected formation energy, the calculation gives 3.60 eV/atom. As for the space group: No. 221.


DFT (PBE) results for a geometry-optimized Au2CBr structure.

Unit cell a=6.2506 b=6.2506 c=6.2506 alpha=122.03 beta=122.03 gamma=86.52
Last column: nearest neighbours and their distance in Å.
Element x y z (fractional)
Au: 0.0101 0.6250 0.8851  2 C 2.06
Au: 0.3750 0.2601 0.3851  2 C 2.06
Au: 0.7399 0.1250 0.1149  2 C 2.06
Au: 0.8750 0.9899 0.6149  2 C 2.06
C: 0.0000 0.0000 0.0000  4 Au 2.06
C: 0.7500 0.2500 0.5000  4 Au 2.06
Br: 0.2500 0.7500 0.5000  4 Au 2.91
Br: 0.5000 0.5000 0.0000  4 Au 2.91

Output
Its excess energy over the best structure of this formula in the dataset is 0.0000 eV per atom. For the uncorrected formation energy, the calculation gives 0.86 eV/atom. As for the space group: No. 122.


DFT (PBE) results for a geometry-optimized H8AuC2S2BrN4 structure.

Unit cell a=9.1552 b=9.1552 c=7.6783 alpha=98.36 beta=98.36 gamma=120.61
Last column: nearest neighbours and their distance in Å.
Element x y z (fractional)
H: 0.0225 0.1928 0.0663  1 N 1.03
H: 0.0348 0.5758 0.2484  1 N 1.02
H: 0.0938 0.6321 0.9052  1 N 1.02
H: 0.1745 0.2173 0.2551  1 N 1.02
H: 0.1928 0.0225 0.5663  1 N 1.03
H: 0.2173 0.1745 0.7551  1 N 1.02
H: 0.3679 0.9062 0.5948  1 N 1.02
H: 0.4242 0.9652 0.2516  1 N 1.02
H: 0.5758 0.0348 0.7484  1 N 1.02
H: 0.6321 0.0938 0.4052  1 N 1.02
H: 0.7827 0.8255 0.2449  1 N 1.02
H: 0.8072 0.9775 0.4337  1 N 1.03
H: 0.8255 0.7827 0.7449  1 N 1.02
H: 0.9062 0.3679 0.0948  1 N 1.02
H: 0.9652 0.4242 0.7516  1 N 1.02
H: 0.9775 0.8072 0.9337  1 N 1.03
Au: 0.5000 0.5000 0.0000  2 S 2.32
Au: 0.5000 0.5000 0.5000  2 S 2.32
C: 0.1197 0.4094 0.2778  2 N 1.33-1.34
C: 0.4094 0.1197 0.7778  2 N 1.33-1.34
C: 0.5906 0.8803 0.2222  2 N 1.33-1.34
C: 0.8803 0.5906 0.7222  2 N 1.33-1.34
S: 0.2743 0.5487 0.4804  1 C 1.73
S: 0.4513 0.7257 0.0196  1 C 1.73
S: 0.5487 0.2743 0.9804  1 C 1.73
S: 0.7257 0.4513 0.5196  1 C 1.73
Br: 0.1192 0.8808 0.2500  4 H 2.40-2.49
Br: 0.8808 0.1192 0.7500  4 H 2.40-2.49
N: 0.0099 0.4523 0.2044  2 H 1.02
N: 0.1011 0.2598 0.1966  2 H 1.02-1.03
N: 0.2598 0.1011 0.6966  2 H 1.02-1.03
N: 0.4523 0.0099 0.7044  2 H 1.02
N: 0.5477 0.9901 0.2956  2 H 1.02
N: 0.7402 0.8989 0.3034  2 H 1.02-1.03
N: 0.8989 0.7402 0.8034  2 H 1.02-1.03
N: 0.9901 0.5477 0.7956  2 H 1.02

Output
The calculation puts the final energy at -5.38 eV/atom. As for the space group: No. 15.


DFT (PBE) results for a geometry-optimized La4AuCBr2 structure.

Unit cell a=7.5670 b=4.0663 c=7.7517 alpha=90.00 beta=107.53 gamma=90.00
Last column: nearest neighbours and their distance in Å.
Element x y z (fractional)
La: 0.1994 0.0000 0.1955  2 C 2.71
La: 0.2236 0.5000 0.7921  1 C 2.67
La: 0.7764 0.5000 0.2079  1 C 2.67
La: 0.8006 0.0000 0.8045  2 C 2.71
Au: 0.5000 0.0000 0.0000  6 La 3.01-3.09
C: 0.0000 0.5000 0.0000  6 La 2.67-2.71
Br: 0.0000 0.0000 0.5000  6 La 3.13-3.16
Br: 0.5000 0.5000 0.5000  6 La 3.41-3.51

Output
For the uncorrected formation energy, the calculation gives -0.91 eV/atom. As for the space group: No. 10.


DFT (PBE) results for a geometry-optimized MoAu2CBr structure.

Unit cell a=5.2410 b=5.2410 c=3.8473 alpha=90.00 beta=90.00 gamma=90.00
Last column: nearest neighbours and their distance in Å.
Element x y z (fractional)
Mo: 0.0000 0.0000 0.0000  8 Au 3.25
Au: 0.0000 0.5000 0.5000  2 Br 2.62
Au: 0.5000 0.0000 0.5000  2 Br 2.62
C: 0.5000 0.5000 0.0000  2 Br 1.92
Br: 0.5000 0.5000 0.5000  2 C 1.92

Output
For the uncorrected formation energy, the calculation gives 2.33 eV/atom. As for the space group: No. 123.


DFT (PBE) results for a geometry-optimized AuCBrN2 structure.

Unit cell a=3.5965 b=3.5965 c=7.8278 alpha=90.00 beta=90.00 gamma=90.00
Last column: nearest neighbours and their distance in Å.
Element x y z (fractional)
Au: 0.0000 0.0000 0.0000  4 C 2.54
C: 0.5000 0.5000 0.0000  4 Au 2.54
Br: 0.0000 0.0000 0.5000  4 N 1.80
N: 0.0000 0.5000 0.5000  2 Br 1.80
N: 0.5000 0.0000 0.5000  2 Br 1.80

Output
For the uncorrected formation energy, the calculation gives 3.22 eV/atom. As for the space group: No. 123.


In order of appearance, calculated volume = 19.96 24.77 13.42 20.88 14.71 28.43 21.14 20.25 Å³/atom.